First-principles (PBE-GGA) data for a geometry-optimized Nd5Bi2Ir structure, as listed in the Alexandria database.

ΔE_f = -0.440 eV/atom
Raw total energy = -5.497 eV per atom
Density of states at the Fermi level = 0.88 states/eV/atom
Symmetry = Cmcm, No. 63

Geometry as POSCAR:
```
Nd5Bi2Ir
1.0
3.0234 -5.0497 0.0000
3.0234 5.0497 0.0000
0.0000 0.0000 16.6757
Nd Bi Ir
10 4 2
Cartesian
3.0234 4.3007 10.1126 Nd
3.0234 4.3007 14.9009 Nd
3.0234 2.4611 4.1689 Nd
3.0234 0.9159 10.4662 Nd
3.0234 0.9159 14.5473 Nd
3.0234 -0.9159 2.1283 Nd
3.0234 -0.9159 6.2095 Nd
3.0234 -2.4611 12.5068 Nd
3.0234 -4.3007 1.7747 Nd
3.0234 -4.3007 6.5631 Nd
3.0234 2.4028 0.9645 Bi
3.0234 2.4028 7.3734 Bi
3.0234 -2.4028 9.3023 Bi
3.0234 -2.4028 15.7112 Bi
3.0234 2.8678 12.5068 Ir
3.0234 -2.8678 4.1689 Ir
```